Material: LaHoI
Method: DFT, GGA-PBE
State: optimized geometry

Output
symmetry = P3m1 (156)
uncorrected formation energy = -0.24 eV/atom
density of states at the Fermi level = 3.9 states/eV/f.u.

POSCAR file:
```
LaHoI
1.0
-1.693 -3.012 1.718
4.881 -1.957 1.377
-2.617 3.384 3.355
I Ho La
1 1 1
Direct
0.501 0.333 0.667
0.500 0.667 0.333
0.999 0.000 0.000
```


Material: LaHoI2
Method: DFT, GGA-PBE
State: optimized geometry

Output
symmetry = R-3m (166)
uncorrected formation energy = -0.77 eV/atom
density of states at the Fermi level = 2.2 states/eV/f.u.

POSCAR file:
```
LaHoI2
1.0
-0.177 0.519 3.901
0.883 -2.976 2.424
10.637 2.310 2.163
I Ho La
2 1 1
Direct
0.094 0.094 0.718
0.906 0.906 0.282
0.000 0.000 0.000
0.500 0.500 0.500
```


Material: LaHoI
Method: DFT, GGA-PBE
State: optimized geometry

Output
symmetry = Cmcm (63)
uncorrected formation energy = -0.50 eV/atom
density of states at the Fermi level = 3.4 states/eV/f.u.

POSCAR file:
```
LaHoI
1.0
-1.311 1.420 -5.273
-0.502 -3.645 -0.857
-9.636 -1.122 2.093
La Ho I
2 2 2
Direct
0.250 0.132 0.736
0.750 0.868 0.264
0.250 0.470 0.060
0.750 0.530 0.940
0.750 0.691 0.619
0.250 0.309 0.381
```


Material: La2HoI2N2
Method: DFT, GGA-PBE
State: optimized geometry

Output
symmetry = I4/mmm (139)
uncorrected formation energy = -1.36 eV/atom
density of states at the Fermi level = 2.1 states/eV/f.u.

POSCAR file:
```
La2HoI2N2
1.0
-0.687 -4.154 -1.637
4.371 -0.963 0.611
-3.796 -0.641 9.452
La Ho I N
2 1 2 2
Direct
0.422 0.422 0.844
0.578 0.578 0.156
0.000 0.000 0.000
0.165 0.165 0.330
0.835 0.835 0.670
0.000 0.500 0.000
0.500 0.000 0.000
```


Material: LaHoNiI
Method: DFT, GGA-PBE
State: optimized geometry

Output
symmetry = R3m (160)
uncorrected formation energy = -0.69 eV/atom
density of states at the Fermi level = 3.8 states/eV/f.u.

POSCAR file:
```
LaHoNiI
1.0
4.085 -0.001 0.000
-2.042 3.539 0.000
-2.043 -1.179 8.030
La Ho Ni I
1 1 1 1
Direct
0.516 0.156 0.687
0.092 0.944 0.051
0.309 0.552 0.877
0.960 0.378 0.354
```


Material: La2HoP2I2
Method: DFT, GGA-PBE
State: optimized geometry

Output
symmetry = I4/mmm (139)
uncorrected formation energy = -1.29 eV/atom
density of states at the Fermi level = 2.8 states/eV/f.u.

POSCAR file:
```
La2HoP2I2
1.0
5.248 0.000 0.000
0.000 5.248 0.000
-2.624 -2.624 8.400
La Ho P I
2 1 2 2
Direct
0.402 0.402 0.804
0.598 0.598 0.196
0.000 0.000 0.000
0.000 0.500 0.000
0.500 0.000 0.000
0.189 0.189 0.378
0.811 0.811 0.622
```


Material: La2HoPt2I2
Method: DFT, GGA-PBE
State: optimized geometry

Output
symmetry = I4/mmm (139)
uncorrected formation energy = -1.04 eV/atom
density of states at the Fermi level = 6.3 states/eV/f.u.

POSCAR file:
```
La2HoPt2I2
1.0
-1.118 -0.109 5.140
5.104 -0.659 1.096
-1.006 8.673 -2.728
La Ho Pt I
2 1 2 2
Direct
0.395 0.395 0.790
0.605 0.605 0.210
0.000 0.000 0.000
0.000 0.500 0.000
0.500 0.000 0.000
0.191 0.191 0.383
0.809 0.809 0.617
```


Material: LaHoRhI
Method: DFT, GGA-PBE
State: optimized geometry

Output
symmetry = R3m (160)
uncorrected formation energy = -0.99 eV/atom
density of states at the Fermi level = 0.3 states/eV/f.u.

POSCAR file:
```
LaHoRhI
1.0
4.131 -0.001 0.000
-2.065 3.578 0.000
-2.065 -1.192 8.136
La Ho Rh I
1 1 1 1
Direct
0.515 0.156 0.686
0.092 0.944 0.052
0.309 0.553 0.877
0.961 0.378 0.354
```


Material: Li2HoI5
Method: DFT, GGA-PBE
State: optimized geometry

Output
symmetry = Cm (8)
uncorrected formation energy = -1.23 eV/atom
density of states at the Fermi level = 0.0 states/eV/f.u.

POSCAR file:
```
Li2HoI5
1.0
-2.208 -7.063 1.262
4.755 -6.427 -2.553
3.464 -4.458 6.210
Li Ho I
2 1 5
Direct
0.639 0.583 0.008
0.639 0.008 0.583
0.960 0.028 0.028
0.519 0.272 0.272
0.078 0.358 0.820
0.078 0.820 0.358
0.386 0.776 0.776
0.701 0.931 0.931
```


Material: LiHo2I6
Method: DFT, GGA-PBE
State: optimized geometry

Output
symmetry = C2/m (12)
uncorrected formation energy = -1.26 eV/atom
density of states at the Fermi level = 4.0 states/eV/f.u.

POSCAR file:
```
LiHo2I6
1.0
4.175 0.000 0.000
-2.088 8.323 -3.013
0.000 -0.190 10.909
Li Ho I
1 2 6
Direct
0.000 0.000 0.500
0.661 0.322 0.827
0.339 0.678 0.173
0.297 0.595 0.870
0.703 0.405 0.130
0.968 0.936 0.194
0.626 0.251 0.541
0.032 0.064 0.806
0.374 0.749 0.459
```


Material: LiHoI4
Method: DFT, GGA-PBE
State: optimized geometry

Output
symmetry = C2/m (12)
uncorrected formation energy = -1.32 eV/atom
density of states at the Fermi level = 0.0 states/eV/f.u.

POSCAR file:
```
LiHoI4
1.0
4.322 0.000 0.000
-2.161 7.958 -3.631
0.000 -0.085 7.537
Li Ho I
1 1 4
Direct
0.500 0.000 0.500
0.000 0.000 0.000
0.386 0.773 0.047
0.104 0.207 0.433
0.614 0.227 0.953
0.896 0.793 0.567
```


Material: Li2HoI4
Method: DFT, GGA-PBE
State: optimized geometry

Output
symmetry = C2/m (12)
uncorrected formation energy = -1.11 eV/atom
density of states at the Fermi level = 2.0 states/eV/f.u.

POSCAR file:
```
Li2HoI4
1.0
8.559 -0.312 0.541
-0.928 8.513 -0.542
-3.177 -4.695 6.443
Li Ho I
4 2 8
Direct
0.625 0.375 0.750
0.625 0.875 0.250
0.625 0.375 0.250
0.125 0.375 0.750
0.128 0.628 0.499
0.122 0.122 0.000
0.915 0.169 0.254
0.335 0.581 0.246
0.916 0.662 0.746
0.828 0.128 0.699
0.429 0.128 0.301
0.334 0.088 0.754
0.422 0.622 0.800
0.821 0.622 0.199
```


no.,M_tot (μB/atom)
1,0.000
2,0.000
3,0.011
4,0.139
5,0.000
6,0.133
7,0.000
8,0.000
9,0.000
10,0.000
11,0.000
12,0.000